No. 1
Below is a geometry-optimized AcCe3Te6 structure, with properties calculated at the PBE level.

Structure (CIF):
```
data_AcCe3Te6
_cell_length_a 12.814
_cell_length_b 4.561
_cell_length_c 13.290
_cell_angle_alpha 90.00
_cell_angle_beta 108.96
_cell_angle_gamma 90.00
_space_group_name_H-M_alt 'P 1 21/m 1'
_space_group_IT_number 11
loop_
_space_group_symop_operation_xyz
'x,y,z'
'-x,-y,-z'
'-x,y+1/2,-z'
'x,-y+1/2,z'
loop_
_atom_site_label
_atom_site_fract_x
_atom_site_fract_y
_atom_site_fract_z
Ac1 0.050 0.250 0.196
Ce1 0.156 0.250 0.583
Ce2 0.318 0.750 0.000
Ce3 0.441 0.250 0.333
Te1 0.086 0.750 0.404
Te2 0.120 0.250 0.967
Te3 0.196 0.750 0.750
Te4 0.264 0.750 0.227
Te5 0.390 0.250 0.553
Te6 0.486 0.250 0.116
```

Computed properties:
Size of the total moment (μB/f.u.): 2.917
N(E_F) (states/eV/f.u.): 22.8
Formation energy from raw total energies (meV/atom): -1399.8
Mass density (kg/m³): 6388



No. 2
Below is a geometry-optimized AcCe2Te structure, with properties calculated at the PBE level.

Structure (CIF):
```
data_AcCe2Te
_cell_length_a 3.9858
_cell_length_b 3.9858
_cell_length_c 30.8429
_cell_angle_alpha 90.00
_cell_angle_beta 90.00
_cell_angle_gamma 120.00
_space_group_name_H-M_alt 'R -3 m'
_space_group_IT_number 166
_space_group_name_Hall '-R 3 2"'
loop_
_atom_site_label
_atom_site_fract_x
_atom_site_fract_y
_atom_site_fract_z
Ac1 0.0000 0.0000 0.0000
Ce1 0.0000 0.0000 0.2360
Te1 0.0000 0.0000 0.5000
```

Computed properties:
Size of the total moment (μB/f.u.): 1.850
Energy relative to the lowest polymorph listed for this composition (meV per atom): 90.7
N(E_F) (states/eV/f.u.): 13.9
Formation energy from raw total energies (meV/atom): -447.5
Mass density (kg/m³): 7453